[1]
Compound: SnPd5Au
Source: Alexandria via LeMat-Bulk
Functional: PBE
Structure: optimized geometry

Values from the calculation:
calculated formation energy	-112	meV/atom
ΔE to the lowest computed polymorph	108	meV per atom

a b c (Å): 5.307 5.307 10.275
angles (deg): 95.13 95.13 58.18
Sites, in units of the cell vectors:
Sn: 0.210 0.790 0.750
Sn: 0.790 0.210 0.250
Pd: 0.132 0.166 0.552
Pd: 0.166 0.132 0.052
Pd: 0.226 0.292 0.819
Pd: 0.286 0.714 0.250
Pd: 0.292 0.226 0.319
Pd: 0.708 0.774 0.681
Pd: 0.714 0.286 0.750
Pd: 0.774 0.708 0.181
Pd: 0.834 0.868 0.948
Pd: 0.868 0.834 0.448
Au: 0.500 0.500 0.000
Au: 0.500 0.500 0.500


[2]
Compound: Sn6PdAu3
Source: Alexandria via LeMat-Bulk
Functional: PBE
Structure: optimized geometry

Values from the calculation:
calculated formation energy	-197	meV/atom

a b c (Å): 7.150 6.763 11.991
angles (deg): 90.00 125.10 90.00
Sites, in units of the cell vectors:
Sn: 0.075 0.151 0.416
Sn: 0.075 0.349 0.916
Sn: 0.262 0.626 0.410
Sn: 0.262 0.874 0.910
Sn: 0.407 0.564 0.743
Sn: 0.407 0.936 0.243
Sn: 0.593 0.064 0.757
Sn: 0.593 0.436 0.257
Sn: 0.738 0.126 0.090
Sn: 0.738 0.374 0.590
Sn: 0.925 0.651 0.084
Sn: 0.925 0.849 0.584
Pd: 0.000 0.000 0.000
Pd: 0.000 0.500 0.500
Au: 0.196 0.193 0.724
Au: 0.196 0.307 0.224
Au: 0.500 0.000 0.500
Au: 0.500 0.500 0.000
Au: 0.804 0.693 0.776
Au: 0.804 0.807 0.276


[3]
Compound: Sn3Pd8Au2
Source: Alexandria via LeMat-Bulk
Functional: PBE
Structure: optimized geometry

Values from the calculation:
calculated formation energy	-131	meV/atom

a b c (Å): 10.331 10.331 10.331
angles (deg): 29.96 29.96 29.96
Sites, in units of the cell vectors:
Sn: 0.000 0.000 0.000
Sn: 0.187 0.187 0.187
Sn: 0.813 0.813 0.813
Pd: 0.223 0.723 0.723
Pd: 0.275 0.275 0.275
Pd: 0.277 0.277 0.777
Pd: 0.277 0.777 0.277
Pd: 0.723 0.223 0.723
Pd: 0.723 0.723 0.223
Pd: 0.725 0.725 0.725
Pd: 0.777 0.277 0.277
Au: 0.365 0.365 0.365
Au: 0.635 0.635 0.635


[4]
Compound: SnPd2Au2
Source: Alexandria via LeMat-Bulk
Functional: PBE
Structure: optimized geometry

Values from the calculation:
calculated formation energy	27	meV/atom
ΔE to the lowest computed polymorph	285	meV per atom

a b c (Å): 3.838 3.838 13.506
angles (deg): 90.00 90.00 90.00
Sites, in units of the cell vectors:
Sn: 0.000 0.000 0.000
Sn: 0.500 0.500 0.500
Pd: 0.000 0.500 0.250
Pd: 0.000 0.500 0.750
Pd: 0.500 0.000 0.250
Pd: 0.500 0.000 0.750
Au: 0.000 0.000 0.398
Au: 0.000 0.000 0.602
Au: 0.500 0.500 0.102
Au: 0.500 0.500 0.898


| no. | final energy (eV/atom) | DOS(E_F) (states/eV/f.u.) | magnetization (μB/cell) |
| --- | --- | --- | --- |
| 1 | -4.86 | 5.117 | 0.0 |
| 2 | -4.10 | 3.590 | 0.0 |
| 3 | -4.75 | 4.313 | 0.0 |
| 4 | -4.16 | 1.889 | 0.0 |